Record 1
# HgHSe2, optimized geometry, DFT GGA-PBE
data_HgHSe2
_cell_length_a 5.700
_cell_length_b 5.700
_cell_length_c 9.937
_cell_angle_alpha 90.00
_cell_angle_beta 90.00
_cell_angle_gamma 90.00
_space_group_name_H-M_alt 'I -4 2 d'
_space_group_IT_number 122
_space_group_name_Hall 'I -4 2bw'
loop_
_atom_site_label
_atom_site_type_symbol
_atom_site_fract_x
_atom_site_fract_y
_atom_site_fract_z
_atom_site_occupancy
Hg1 Hg 0.000 0.000 0.000 1
H1 H 0.000 0.000 0.500 1
Se1 Se 0.161 0.250 0.625 1
# Distance to the lowest polymorph of the same formula   0.299 eV per atom

=====

Record 2
# HgH2Se2, optimized geometry, DFT GGA-PBE
data_HgH2Se2
_cell_length_a 4.293
_cell_length_b 4.456
_cell_length_c 7.021
_cell_angle_alpha 76.16
_cell_angle_beta 79.27
_cell_angle_gamma 62.29
_space_group_name_H-M_alt 'P -1'
_space_group_IT_number 2
loop_
_space_group_symop_operation_xyz
'x,y,z'
'-x,-y,-z'
loop_
_atom_site_label
_atom_site_type_symbol
_atom_site_fract_x
_atom_site_fract_y
_atom_site_fract_z
_atom_site_occupancy
Hg1 Hg 0.000 0.000 0.000 1
H1 H 0.026 0.270 0.344 1
Se1 Se 0.311 0.636 0.736 1
# Distance to the lowest polymorph of the same formula   0.000 eV per atom

=====

Record 3
# HgHSe3, optimized geometry, DFT GGA-PBE
data_HgHSe3
_cell_length_a 5.352
_cell_length_b 5.352
_cell_length_c 5.352
_cell_angle_alpha 90.00
_cell_angle_beta 90.00
_cell_angle_gamma 90.00
_space_group_name_H-M_alt 'P m -3 m'
_space_group_IT_number 221
_space_group_name_Hall '-P 4 2 3'
loop_
_atom_site_label
_atom_site_type_symbol
_atom_site_fract_x
_atom_site_fract_y
_atom_site_fract_z
_atom_site_occupancy
Hg1 Hg 0.000 0.000 0.000 1
H1 H 0.500 0.500 0.500 1
Se1 Se 0.000 0.000 0.500 1
# Distance to the lowest polymorph of the same formula   0.421 eV per atom

=====

Record 4
# HgHSe, optimized geometry, DFT GGA-PBE
data_HgHSe
_cell_length_a 2.826
_cell_length_b 2.851
_cell_length_c 15.600
_cell_angle_alpha 88.07
_cell_angle_beta 88.22
_cell_angle_gamma 89.59
_space_group_name_H-M_alt 'P -1'
_space_group_IT_number 2
loop_
_space_group_symop_operation_xyz
'x,y,z'
'-x,-y,-z'
loop_
_atom_site_label
_atom_site_type_symbol
_atom_site_fract_x
_atom_site_fract_y
_atom_site_fract_z
_atom_site_occupancy
Hg1 Hg 0.009 0.023 0.396 1
H1 H 0.424 0.427 0.015 1
Se1 Se 0.035 0.060 0.205 1
# Distance to the lowest polymorph of the same formula   0.142 eV per atom

=====

Record 5
# Hg3HSe, optimized geometry, DFT GGA-PBE
data_Hg3HSe
_cell_length_a 4.673
_cell_length_b 4.673
_cell_length_c 4.673
_cell_angle_alpha 90.00
_cell_angle_beta 90.00
_cell_angle_gamma 90.00
_space_group_name_H-M_alt 'P m -3 m'
_space_group_IT_number 221
_space_group_name_Hall '-P 4 2 3'
loop_
_atom_site_label
_atom_site_type_symbol
_atom_site_fract_x
_atom_site_fract_y
_atom_site_fract_z
_atom_site_occupancy
Hg1 Hg 0.000 0.000 0.500 1
H1 H 0.000 0.000 0.000 1
Se1 Se 0.500 0.500 0.500 1
# Distance to the lowest polymorph of the same formula   0.300 eV per atom

=====

Record 6
# Hg4H3Se2, optimized geometry, DFT GGA-PBE
data_Hg4H3Se2
_cell_length_a 4.323
_cell_length_b 4.637
_cell_length_c 10.436
_cell_angle_alpha 82.40
_cell_angle_beta 82.11
_cell_angle_gamma 80.69
_space_group_name_H-M_alt 'P -1'
_space_group_IT_number 2
loop_
_space_group_symop_operation_xyz
'x,y,z'
'-x,-y,-z'
loop_
_atom_site_label
_atom_site_type_symbol
_atom_site_fract_x
_atom_site_fract_y
_atom_site_fract_z
_atom_site_occupancy
Hg1 Hg 0.180 0.196 0.330 1
Hg2 Hg 0.293 0.287 0.991 1
H1 H 0.000 0.000 0.000 1
H2 H 0.478 0.531 0.379 1
Se1 Se 0.285 0.272 0.681 1
# E_tot   -1.8943 eV/atom